Record 1
First-principles (PBE-GGA) data for crystalline Hf2AlCl at its relaxed geometry, as listed in Alexandria via LeMat-Bulk.

Output
Spin magnetization: 0.00 μB/atom
Formation energy without anion corrections: -3.9 kJ/mol of atoms
Calculated total energy: -25.66 eV per cell

Cell and atoms, written as POSCAR:
```
Hf2AlCl
1.0
0.0000 3.3874 3.3874
3.3874 0.0000 3.3874
3.3874 3.3874 0.0000
Cl Hf Al
1 2 1
Direct
0.5000 0.5000 0.5000 Cl
0.2500 0.2500 0.2500 Hf
0.7500 0.7500 0.7500 Hf
0.0000 0.0000 0.0000 Al
```


Record 2
First-principles (PBE-GGA) data for crystalline HfAl3Cl at its relaxed geometry, as listed in Alexandria via LeMat-Bulk.

Output
Spin magnetization: 0.00 μB/atom
Formation energy without anion corrections: 50.9 kJ/mol of atoms
Calculated total energy: -20.39 eV per cell

Cell and atoms, written as POSCAR:
```
HfAl3Cl
1.0
-4.1776 0.5901 2.0122
-0.9555 -4.5284 -0.6556
1.8666 -0.9973 4.1678
Al Cl Hf
3 1 1
Direct
0.0000 0.0000 0.5000 Al
0.5000 0.0000 0.0000 Al
0.0000 0.5000 0.0000 Al
0.0000 0.0000 0.0000 Cl
0.5000 0.5000 0.5000 Hf
```


Record 3
First-principles (PBE-GGA) data for crystalline HfAlCl2 at its relaxed geometry, as listed in Alexandria via LeMat-Bulk.

Output
Spin magnetization: 0.00 μB/atom
Formation energy without anion corrections: -72.3 kJ/mol of atoms
Calculated total energy: -20.39 eV per cell

Cell and atoms, written as POSCAR:
```
HfAlCl2
1.0
1.8496 0.0000 9.6776
-0.9248 1.6018 9.6776
-0.9248 -1.6018 9.6776
Cl Al Hf
2 1 1
Direct
0.1025 0.1025 0.1025 Cl
0.8975 0.8975 0.8975 Cl
0.0000 0.0000 0.0000 Al
0.5000 0.5000 0.5000 Hf
```


Record 4
First-principles (PBE-GGA) data for crystalline HfAlCl3 at its relaxed geometry, as listed in Alexandria via LeMat-Bulk.

Output
Spin magnetization: 0.00 μB/atom
Formation energy without anion corrections: -63.1 kJ/mol of atoms
Calculated total energy: -22.51 eV per cell

Cell and atoms, written as POSCAR:
```
HfAlCl3
1.0
5.0164 0.0000 0.0000
0.0000 5.0164 0.0000
0.0000 0.0000 5.0164
Cl Hf Al
3 1 1
Direct
0.5000 0.0000 0.0000 Cl
0.0000 0.5000 0.0000 Cl
0.0000 0.0000 0.5000 Cl
0.0000 0.0000 0.0000 Hf
0.5000 0.5000 0.5000 Al
```


Record 5
First-principles (PBE-GGA) data for crystalline HfAlCl2 at its relaxed geometry, as listed in Alexandria via LeMat-Bulk.

Output
Spin magnetization: 0.00 μB/atom
Formation energy without anion corrections: -4.5 kJ/mol of atoms
Calculated total energy: -17.57 eV per cell

Cell and atoms, written as POSCAR:
```
HfAlCl2
1.0
-2.9820 -1.5458 3.2840
-3.4168 -3.0082 -1.1589
0.2093 -4.4636 1.4487
Hf Al Cl
1 1 2
Direct
0.5000 0.5000 0.5000 Hf
0.0000 0.0000 0.0000 Al
0.2500 0.2500 0.2500 Cl
0.7500 0.7500 0.7500 Cl
```


Record 6
First-principles (PBE-GGA) data for crystalline HfAlCl2 at its relaxed geometry, as listed in Alexandria via LeMat-Bulk.

Output
Spin magnetization: 0.00 μB/atom
Formation energy without anion corrections: -37.0 kJ/mol of atoms
Calculated total energy: -37.85 eV per cell

Cell and atoms, written as POSCAR:
```
HfAlCl2
1.0
4.3111 0.0000 0.0000
0.0000 4.3111 0.0000
2.1555 2.1555 8.9441
Hf Cl Al
2 4 2
Direct
0.0000 0.0000 0.0000 Hf
0.7500 0.2500 0.5000 Hf
0.8750 0.8906 0.7500 Cl
0.1094 0.6250 0.2500 Cl
0.3750 0.3594 0.7500 Cl
0.6406 0.1250 0.2500 Cl
0.5000 0.5000 0.0000 Al
0.2500 0.7500 0.5000 Al
```


Record 7
First-principles (PBE-GGA) data for crystalline HfAl3Cl at its relaxed geometry, as listed in Alexandria via LeMat-Bulk.

Output
Spin magnetization: 0.75 μB/atom
Formation energy without anion corrections: 86.9 kJ/mol of atoms
Calculated total energy: -18.52 eV per cell

Cell and atoms, written as POSCAR:
```
HfAl3Cl
1.0
-1.9312 4.3957 2.6226
-4.8067 -2.5210 0.6860
1.7597 -2.0621 4.7520
Al Hf Cl
3 1 1
Direct
0.5000 0.0000 0.0000 Al
0.0000 0.0000 0.5000 Al
0.0000 0.5000 0.0000 Al
0.0000 0.0000 0.0000 Hf
0.5000 0.5000 0.5000 Cl
```


Record 8
First-principles (PBE-GGA) data for crystalline Hf2AlCl at its relaxed geometry, as listed in Alexandria via LeMat-Bulk.

Output
Spin magnetization: 0.00 μB/atom
Formation energy without anion corrections: 24.8 kJ/mol of atoms
Calculated total energy: -48.94 eV per cell

Cell and atoms, written as POSCAR:
```
Hf2AlCl
1.0
4.1713 0.0000 0.0000
0.0000 4.1713 0.0000
2.0856 2.0856 9.9275
Al Cl Hf
2 2 4
Direct
0.2500 0.7500 0.5000 Al
0.5000 0.5000 0.0000 Al
0.0000 0.0000 0.0000 Cl
0.7500 0.2500 0.5000 Cl
0.8750 0.8694 0.7500 Hf
0.1306 0.6250 0.2500 Hf
0.3750 0.3806 0.7500 Hf
0.6194 0.1250 0.2500 Hf
```